Record 1
Computed, not measured: ErMgSi after structural relaxation at the GGA-PBE level of DFT.

Geometry as CIF:
```
data_ErMgSi
_cell_length_a 3.630
_cell_length_b 18.938
_cell_length_c 4.469
_cell_angle_alpha 90.00
_cell_angle_beta 90.00
_cell_angle_gamma 90.00
_symmetry_space_group_name_H-M 'C m c m'
_symmetry_Int_Tables_number 63
_symmetry_space_group_name_Hall '-C 2c 2'
loop_
_atom_site_label
_atom_site_fract_x
_atom_site_fract_y
_atom_site_fract_z
Er1 0.000 0.183 0.250
Mg1 0.000 0.053 0.750
Si1 0.000 0.336 0.250
```

VASP energy: -4.112 eV per atom
energy relative to the elements, uncorrected: -0.755 eV/f.u.


Record 2
Computed, not measured: KInC after structural relaxation at the GGA-PBE level of DFT.

Geometry as CIF:
```
data_KInC
_cell_length_a 4.765
_cell_length_b 3.922
_cell_length_c 9.315
_cell_angle_alpha 90.00
_cell_angle_beta 90.00
_cell_angle_gamma 90.00
_symmetry_space_group_name_H-M 'P m c 21'
_symmetry_Int_Tables_number 26
loop_
_symmetry_equiv_pos_as_xyz
'x,y,z'
'-x,-y,z+1/2'
'-x,y,z'
'x,-y,z+1/2'
loop_
_atom_site_label
_atom_site_fract_x
_atom_site_fract_y
_atom_site_fract_z
K1 0.000 0.000 0.000
In1 0.500 0.498 0.260
C1 0.500 0.002 0.694
```

formation enthalpy at 0 K: 1.005 eV per atom
VASP energy: -3.349 eV per atom


Record 3
Computed, not measured: Tc3N after structural relaxation at the GGA-PBE level of DFT.

Geometry as CIF:
```
data_Tc3N
_cell_length_a 2.8189
_cell_length_b 2.8189
_cell_length_c 7.1051
_cell_angle_alpha 90.00
_cell_angle_beta 90.00
_cell_angle_gamma 120.00
_symmetry_space_group_name_H-M 'P -6 m 2'
_symmetry_Int_Tables_number 187
_symmetry_space_group_name_Hall 'P -6 2'
loop_
_atom_site_label
_atom_site_fract_x
_atom_site_fract_y
_atom_site_fract_z
Tc1 0.0000 0.0000 0.0000
Tc2 0.6667 0.3333 0.3040
N1 0.0000 0.0000 0.5000
```

VASP energy: -9.967 eV per atom
energy relative to the elements, uncorrected: -0.445 eV/f.u.


Record 4
Computed, not measured: KCd2Te after structural relaxation at the GGA-PBE level of DFT.

Geometry as CIF:
```
data_KCd2Te
_cell_length_a 9.447
_cell_length_b 9.447
_cell_length_c 6.395
_cell_angle_alpha 90.00
_cell_angle_beta 90.00
_cell_angle_gamma 90.00
_symmetry_space_group_name_H-M 'I -4 2 d'
_symmetry_Int_Tables_number 122
_symmetry_space_group_name_Hall 'I -4 2bw'
loop_
_atom_site_label
_atom_site_fract_x
_atom_site_fract_y
_atom_site_fract_z
K1 0.000 0.000 0.000
Cd1 0.193 0.250 0.625
Te1 0.000 0.000 0.500
```

VASP energy: -1.736 eV per atom
energy relative to the elements, uncorrected: -0.874 eV/f.u.


Record 5
Computed, not measured: PrHoTmIn after structural relaxation at the GGA-PBE level of DFT.

Geometry as CIF:
```
data_PrHoTmIn
_cell_length_a 7.768
_cell_length_b 7.768
_cell_length_c 7.768
_cell_angle_alpha 90.00
_cell_angle_beta 90.00
_cell_angle_gamma 90.00
_symmetry_space_group_name_H-M 'F -4 3 m'
_symmetry_Int_Tables_number 216
_symmetry_space_group_name_Hall 'F -4 2 3'
loop_
_atom_site_label
_atom_site_fract_x
_atom_site_fract_y
_atom_site_fract_z
Pr1 0.000 0.000 0.000
Ho1 0.000 0.000 0.500
Tm1 0.250 0.250 0.750
In1 0.250 0.250 0.250
```

formation enthalpy at 0 K: -0.143 eV per atom
VASP energy: -4.285 eV per atom


Record 6
Computed, not measured: Ho5CdSb2 after structural relaxation at the GGA-PBE level of DFT.

Geometry as CIF:
```
data_Ho5CdSb2
_cell_length_a 5.504
_cell_length_b 11.471
_cell_length_c 14.884
_cell_angle_alpha 90.00
_cell_angle_beta 90.00
_cell_angle_gamma 90.00
_symmetry_space_group_name_H-M 'C m c m'
_symmetry_Int_Tables_number 63
_symmetry_space_group_name_Hall '-C 2c 2'
loop_
_atom_site_label
_atom_site_fract_x
_atom_site_fract_y
_atom_site_fract_z
Ho1 0.000 0.071 0.097
Ho2 0.000 0.379 0.052
Ho3 0.000 0.411 0.750
Cd1 0.000 0.290 0.250
Sb1 0.000 0.209 0.612
```

VASP energy: -4.353 eV per atom
energy relative to the elements, uncorrected: -2.778 eV/f.u.


Record 7
Computed, not measured: TaCo2Au after structural relaxation at the GGA-PBE level of DFT.

Geometry as CIF:
```
data_TaCo2Au
_cell_length_a 2.836
_cell_length_b 3.689
_cell_length_c 5.480
_cell_angle_alpha 90.00
_cell_angle_beta 90.00
_cell_angle_gamma 90.00
_symmetry_space_group_name_H-M 'P m m 2'
_symmetry_Int_Tables_number 25
loop_
_symmetry_equiv_pos_as_xyz
'x,y,z'
'-x,-y,z'
'-x,y,z'
'x,-y,z'
loop_
_atom_site_label
_atom_site_fract_x
_atom_site_fract_y
_atom_site_fract_z
Ta1 0.000 0.000 0.000
Co1 0.000 0.000 0.563
Co2 0.500 0.500 0.770
Au1 0.500 0.500 0.300
```

formation enthalpy at 0 K: 0.037 eV per atom
VASP energy: -7.299 eV per atom


Record 8
Computed, not measured: Bi2Pd2Pb after structural relaxation at the GGA-PBE level of DFT.

Geometry as CIF:
```
data_Bi2Pd2Pb
_cell_length_a 8.272
_cell_length_b 8.272
_cell_length_c 3.468
_cell_angle_alpha 90.00
_cell_angle_beta 90.00
_cell_angle_gamma 90.00
_symmetry_space_group_name_H-M 'P 4/m b m'
_symmetry_Int_Tables_number 127
_symmetry_space_group_name_Hall '-P 4 2ab'
loop_
_atom_site_label
_atom_site_fract_x
_atom_site_fract_y
_atom_site_fract_z
Bi1 0.157 0.343 0.000
Pd1 0.131 0.631 0.500
Pb1 0.000 0.000 0.500
```

formation enthalpy at 0 K: -0.184 eV per atom
VASP energy: -4.556 eV per atom


Record 9
Computed, not measured: Pr5SmHo after structural relaxation at the GGA-PBE level of DFT.

Geometry as CIF:
```
data_Pr5SmHo
_cell_length_a 5.963
_cell_length_b 8.856
_cell_length_c 12.224
_cell_angle_alpha 90.00
_cell_angle_beta 90.00
_cell_angle_gamma 90.00
_symmetry_space_group_name_H-M 'I m m m'
_symmetry_Int_Tables_number 71
_symmetry_space_group_name_Hall '-I 2 2'
loop_
_atom_site_label
_atom_site_fract_x
_atom_site_fract_y
_atom_site_fract_z
Pr1 0.000 0.000 0.000
Pr2 0.000 0.176 0.500
Pr3 0.000 0.500 0.251
Sm1 0.000 0.500 0.500
Ho1 0.000 0.500 0.000
```

formation enthalpy at 0 K: 0.945 eV per atom
VASP energy: -3.797 eV per atom


Record 10
Computed, not measured: Ba2MgAl after structural relaxation at the GGA-PBE level of DFT.

Geometry as CIF:
```
data_Ba2MgAl
_cell_length_a 10.656
_cell_length_b 3.923
_cell_length_c 8.199
_cell_angle_alpha 90.00
_cell_angle_beta 99.68
_cell_angle_gamma 90.00
_symmetry_space_group_name_H-M 'C 1 2/m 1'
_symmetry_Int_Tables_number 12
loop_
_symmetry_equiv_pos_as_xyz
'x,y,z'
'-x,-y,-z'
'-x,y,-z'
'x,-y,z'
'x+1/2,y+1/2,z'
'-x+1/2,-y+1/2,-z'
'-x+1/2,y+1/2,-z'
'x+1/2,-y+1/2,z'
loop_
_atom_site_label
_atom_site_fract_x
_atom_site_fract_y
_atom_site_fract_z
Ba1 0.242 0.000 0.229
Mg1 0.000 0.000 0.500
Al1 0.000 0.500 0.000
```

formation enthalpy at 0 K: 0.194 eV per atom
VASP energy: -2.101 eV per atom